Ce3Pu2: optimized geometry, GGA-PBE.

POSCAR file:
```
Ce3Pu2
1.0
3.389 0.000 0.376
1.695 2.981 0.188
-1.125 0.000 25.623
Ce Pu
6 4
Cartesian
1.451 0.017 20.964
0.332 0.000 0.037
3.159 1.491 13.224
2.014 1.474 8.152
3.188 2.964 5.299
0.930 1.507 17.922
0.342 0.016 15.507
4.300 2.965 10.756
2.043 1.507 23.379
0.905 1.474 2.695
```

M_tot	12.3	μB per formula unit
final energy	-9.13	eV per atom
ΔE_f	0.161	eV per atom

---

Ce3Pu: optimized geometry, GGA-PBE.

POSCAR file:
```
Ce3Pu
1.0
-0.977 -2.617 4.481
-3.332 -4.096 -0.008
1.844 -4.905 0.648
Ce Pu
3 1
Cartesian
-1.849 -8.714 3.841
0.000 0.000 0.000
-0.616 -2.905 1.280
-1.233 -5.809 2.560
```

energy above the lowest structure with this stoichiometry	0.164	eV/atom
M_tot	6.9	μB per formula unit
final energy	-7.84	eV per atom
ΔE_f	0.196	eV per atom